(1)
This record from Alexandria via LeMat-Bulk describes a relaxed SrTi2Ni crystal. The functional is PBE.

a b c (Å): 4.9134 4.9134 9.2231
angles (deg): 74.55 74.55 90.00
Last column: nearest neighbours and their distance in Å.
Atoms (fractional coordinates):
Ti  0.3750  0.6250  0.2500  2 Ti 2.46, 2 Ni 2.46
Ti  0.8750  0.6250  0.7500  2 Ti 2.46, 2 Ni 2.46
Ti  0.3750  0.1250  0.2500  2 Ti 2.46, 2 Ni 2.46
Ti  0.3750  0.6250  0.7500  2 Ti 2.46, 2 Ni 2.46
Sr  0.7500  0.2500  0.5000  4 Ni 3.47, 8 Ti 3.48
Sr  0.0000  0.0000  0.0000  4 Ni 3.47, 8 Ti 3.48
Ni  0.5000  0.5000  0.0000  4 Ti 2.46
Ni  0.2500  0.7500  0.5000  4 Ti 2.46

Values from the calculation:
volume	206	Å³/cell
calculated total energy	-41.03	eV for the cell shown
energy of formation from the pure elements	0.684	eV per atom
E above lowest polymorph	0.000	eV per atom

(2)
This record from Alexandria via LeMat-Bulk describes a relaxed Ca3Ce2YP6 crystal. The functional is PBE.

a b c (Å): 7.1379 7.1379 7.0583
angles (deg): 99.70 99.70 120.03
Last column: nearest neighbours and their distance in Å.
Atoms (fractional coordinates):
Ca  0.1658  0.8342  0.5000  6 P 2.96-2.97
Ca  0.5000  0.5000  0.5000  6 P 2.95-2.97
Ca  0.8342  0.1658  0.5000  6 P 2.96-2.97
Ce  0.3335  0.6665  0.0000  6 P 2.84
Ce  0.6665  0.3335  0.0000  6 P 2.84
P  0.2573  0.2573  0.7657  2 Ce 2.84, 1 Y 2.86, 3 Ca 2.95-2.96
P  0.4133  0.0779  0.2338  2 Ce 2.84, 1 Y 2.85, 3 Ca 2.96-2.97
P  0.9221  0.5867  0.7662  2 Ce 2.84, 1 Y 2.85, 3 Ca 2.96-2.97
P  0.7427  0.7427  0.2343  2 Ce 2.84, 1 Y 2.86, 3 Ca 2.95-2.96
P  0.5867  0.9221  0.7662  2 Ce 2.84, 1 Y 2.85, 3 Ca 2.96-2.97
P  0.0779  0.4133  0.2338  2 Ce 2.84, 1 Y 2.85, 3 Ca 2.96-2.97
Y  0.0000  0.0000  0.0000  6 P 2.85-2.86

Values from the calculation:
volume	293	Å³/cell
calculated total energy	-72.08	eV for the cell shown
energy of formation from the pure elements	-1.273	eV per atom

(3)
This record from Alexandria via LeMat-Bulk describes a relaxed Rb2NpCoSe4 crystal. The functional is PBE.

a b c (Å): 6.2994 7.9769 13.1561
angles (deg): 84.58 76.15 66.74
Last column: nearest neighbours and their distance in Å.
Atoms (fractional coordinates):
Rb  0.5698  0.5000  0.8604  8 Se 3.67-4.03
Rb  0.8198  0.0000  0.3604  8 Se 3.67-4.03
Rb  0.1802  0.0000  0.6395  8 Se 3.67-4.03
Rb  0.9302  0.5000  0.1396  8 Se 3.67-4.03
Se  0.1902  0.2951  0.3963  1 Co 2.41, 1 Np 2.69
Se  0.2353  0.2049  0.8963  1 Co 2.41, 1 Np 2.69
Se  0.8685  0.7951  0.8963  1 Co 2.41, 1 Np 2.69
Se  0.5598  0.2049  0.1037  1 Co 2.41, 1 Np 2.69
Se  0.5147  0.2951  0.6037  1 Co 2.41, 1 Np 2.69
Se  0.3364  0.7951  0.1037  1 Co 2.41, 1 Np 2.69
Se  0.8815  0.7049  0.6037  1 Co 2.41, 1 Np 2.69
Se  0.4136  0.7049  0.3963  1 Co 2.41, 1 Np 2.69
Co  0.2500  0.5000  0.5000  4 Se 2.41
Co  0.5000  0.0000  0.0000  4 Se 2.41
Np  0.0000  0.0000  0.0000  4 Se 2.69
Np  0.7500  0.5000  0.5000  4 Se 2.69

Values from the calculation:
volume	590	Å³/cell
calculated total energy	-83.64	eV for the cell shown
formation energy from raw total energies	-737	meV/atom

(4)
This record from Alexandria via LeMat-Bulk describes a relaxed La8HgAu2 crystal. The functional is PBE.

a b c (Å): 5.0468 8.7401 9.2304
angles (deg): 118.26 105.87 90.00
Last column: nearest neighbours and their distance in Å.
Atoms (fractional coordinates):
La  0.0000  0.6711  0.0000  1 La 2.99
La  0.0000  0.3289  0.0000  1 La 2.99
La  0.6594  0.8798  0.3189  3 Au 3.23-3.31, 1 Hg 3.47, 4 La 3.52-3.55
La  0.3406  0.1202  0.6811  3 Au 3.23-3.31, 1 Hg 3.47, 4 La 3.52-3.55
La  0.3406  0.5609  0.6811  3 Au 3.23-3.31, 1 Hg 3.47, 4 La 3.52-3.55
La  0.1422  0.1422  0.2845  2 Hg 3.35, 8 La 3.52-3.62, 2 Au 3.55
La  0.8578  0.8578  0.7155  2 Hg 3.35, 8 La 3.52-3.62, 2 Au 3.55
La  0.6594  0.4391  0.3189  3 Au 3.23-3.31, 1 Hg 3.47, 4 La 3.52-3.55
Au  0.8037  0.3037  0.6073  10 La 3.23-3.55
Au  0.1963  0.6963  0.3927  10 La 3.23-3.55
Hg  0.5000  0.0000  0.0000  8 La 3.35-3.47

Values from the calculation:
volume	341	Å³/cell
calculated total energy	-49.50	eV for the cell shown
energy of formation from the pure elements	-0.293	eV per atom